Record 1
# TaSi3Ni

An optimized crystal structure of TaSi3Ni (GGA-PBE, Alexandria via LeMat-Bulk).

Lattice parameters (Å, degrees): 4.3300 4.3300 4.3300 90.00 90.00 90.00
Closest atoms and distances in Å follow each position.
Fractional coordinates of all 5 atoms:
Ta  0.0000  0.0000  0.0000  12 Si 3.06
Si  0.0000  0.5000  0.5000  2 Ni 2.17
Si  0.5000  0.0000  0.5000  2 Ni 2.17
Si  0.5000  0.5000  0.0000  2 Ni 2.17
Ni  0.5000  0.5000  0.5000  6 Si 2.17

Computed properties:
* raw formation energy: 0.713 eV per atom

***

Record 2
# H5SCl2

An optimized crystal structure of H5SCl2 (GGA-PBE, Alexandria via LeMat-Bulk).

Lattice parameters (Å, degrees): 5.3424 5.5941 6.2899 66.94 85.63 76.58
Closest atoms and distances in Å follow each position.
Fractional coordinates of all 8 atoms:
H  0.0000  0.0000  0.0000  1 S 1.51
H  0.0448  0.4766  0.6504  1 Cl 1.32
H  0.1460  0.9581  0.7074  1 S 1.35
H  0.4266  0.6170  0.0699  1 Cl 1.31
H  0.4759  0.0745  0.7165  1 S 1.50
S  0.2301  0.0542  0.8491  3 H 1.35-1.51
Cl  0.5242  0.3611  0.1736  1 H 1.31
Cl  0.9314  0.7270  0.5286  1 H 1.32

Computed properties:
* electronic total energy: -3.1250 eV/atom

***

| no. | magnetic moment (μB per atom) |
| --- | --- |
| 1 | 0.000 |
| 2 | 0.125 |